A geometry-optimized GaNi2Ir2 structure, computed with PBE-GGA.

Computed properties:
Energy relative to the elements (eV per atom): 0.1244
Raw total energy (eV per cell): -63.38
SG: P4/mbm (127)

a b c (Å): 6.8346 6.8346 3.0079
angles (deg): 90.00 90.00 90.00
Last column: nearest neighbours and their distance in Å.
Sites, in units of the cell vectors:
Ni  0.1619  0.6619  0.5000  6 Ir 2.47-2.54
Ni  0.3381  0.1619  0.5000  6 Ir 2.47-2.54
Ni  0.8381  0.3381  0.5000  6 Ir 2.47-2.54
Ni  0.6619  0.8381  0.5000  6 Ir 2.47-2.54
Ir  0.6356  0.1356  0.0000  6 Ni 2.47-2.54, 1 Ir 2.62, 2 Ga 2.66
Ir  0.3644  0.8644  0.0000  6 Ni 2.47-2.54, 1 Ir 2.62, 2 Ga 2.66
Ir  0.1356  0.3644  0.0000  6 Ni 2.47-2.54, 1 Ir 2.62, 2 Ga 2.66
Ir  0.8644  0.6356  0.0000  6 Ni 2.47-2.54, 1 Ir 2.62, 2 Ga 2.66
Ga  0.5000  0.5000  0.0000  4 Ir 2.66, 8 Ni 2.97
Ga  0.0000  0.0000  0.0000  4 Ir 2.66, 8 Ni 2.97